# CsGaSe2 PBE optimized geometry
# N(E_F)	0.0	states/eV per cell
# V	114	Å³/f.u.
# raw formation energy	-65.94	kJ per mole of atoms
# density	5.3	Mg/m³
# final energy	-27.166	eV/cell
data_CsGaSe2
_cell_length_a 6.920
_cell_length_b 3.973
_cell_length_c 8.601
_cell_angle_alpha 90.00
_cell_angle_beta 105.58
_cell_angle_gamma 90.00
_symmetry_space_group_name_H-M 'C 1 2/m 1'
_symmetry_Int_Tables_number 12
_symmetry_space_group_name_Hall '-C 2y'
loop_
_atom_site_label
_atom_site_type_symbol
_atom_site_fract_x
_atom_site_fract_y
_atom_site_fract_z
Cs1 Cs 0.000 0.000 0.000
Ga1 Ga 0.000 0.500 0.500
Se1 Se 0.222 0.000 0.669